1.
Ga2Ir2Pt: relaxed, PBE-GGA.

Lattice parameters (Å, degrees): 7.2608 7.2608 2.8631 90.00 90.00 90.00
Last column: nearest neighbours and their distance in Å.
Sites, in units of the cell vectors:
Ga 0.8522 0.6478 0.0000  6 Ir 2.52-2.60, 2 Pt 2.77
Ga 0.3522 0.8522 0.0000  6 Ir 2.52-2.60, 2 Pt 2.77
Ga 0.1478 0.3522 0.0000  6 Ir 2.52-2.60, 2 Pt 2.77
Ir 0.3496 0.1504 0.5000  6 Ga 2.52-2.60
Ir 0.6504 0.8496 0.5000  6 Ga 2.52-2.60
Ir 0.8496 0.3496 0.5000  6 Ga 2.52-2.60
Ga 0.6478 0.1478 0.0000  6 Ir 2.52-2.60, 2 Pt 2.77
Pt 0.5000 0.5000 0.0000  4 Ga 2.77, 2 Pt 2.86
Pt 0.0000 0.0000 0.0000  4 Ga 2.77, 2 Pt 2.86
Ir 0.1504 0.6504 0.5000  6 Ga 2.52-2.60

The crystal system is tetragonal. The calculation puts the energy relative to the lowest polymorph listed for this composition at 0.0267 eV per atom.

2.
Ga8IrPt2: relaxed, PBE-GGA.

Lattice parameters (Å, degrees): 3.1114 6.2077 9.9762 102.76 98.97 90.00
Last column: nearest neighbours and their distance in Å.
Sites, in units of the cell vectors:
Ga 0.0324 0.7054 0.0648  3 Ga 2.58-2.83, 2 Ir 2.59, 1 Pt 2.71
Ga 0.2247 0.2906 0.4495  3 Pt 2.64-2.72, 2 Ga 2.80
Pt 0.8354 0.3557 0.6709  8 Ga 2.57-2.72
Pt 0.1646 0.6443 0.3291  8 Ga 2.57-2.72
Ga 0.9676 0.2946 0.9352  3 Ga 2.58-2.83, 2 Ir 2.59, 1 Pt 2.71
Ga 0.4025 0.6581 0.8049  1 Ir 2.53, 2 Pt 2.57, 1 Ga 2.68
Ir 0.5000 0.0000 0.0000  6 Ga 2.53-2.59
Ga 0.6407 0.9613 0.2814  2 Pt 2.63, 5 Ga 2.68-2.83, 1 Ir 2.84
Ga 0.7753 0.7094 0.5505  3 Pt 2.64-2.72, 2 Ga 2.80
Ga 0.3593 0.0387 0.7186  2 Pt 2.63, 5 Ga 2.68-2.83, 1 Ir 2.84
Ga 0.5975 0.3419 0.1951  1 Ir 2.53, 2 Pt 2.57, 1 Ga 2.68

The crystal system is monoclinic. The calculation puts the energy relative to the lowest polymorph listed for this composition at 0.0000 eV per atom.

3.
GaIrPt: relaxed, PBE-GGA.

Lattice parameters (Å, degrees): 2.9228 2.9228 11.0494 97.60 97.60 90.00
Last column: nearest neighbours and their distance in Å.
Sites, in units of the cell vectors:
Ir 0.7056 0.7056 0.4112  4 Ga 2.61, 4 Ir 2.83
Pt 0.4397 0.4397 0.8794  4 Ga 2.59, 1 Pt 2.62
Pt 0.5603 0.5603 0.1206  4 Ga 2.59, 1 Pt 2.62
Ir 0.2944 0.2944 0.5888  4 Ga 2.61, 4 Ir 2.83
Ga 0.1323 0.1323 0.2647  4 Pt 2.59, 4 Ir 2.61
Ga 0.8677 0.8677 0.7353  4 Pt 2.59, 4 Ir 2.61

The crystal system is tetragonal. The calculation puts the energy relative to the lowest polymorph listed for this composition at 0.0196 eV per atom.

4.
Ga8Ir2Pt: relaxed, PBE-GGA.

Lattice parameters (Å, degrees): 4.9109 7.0545 7.0545 62.75 107.25 107.25
Last column: nearest neighbours and their distance in Å.
Sites, in units of the cell vectors:
Ir 0.5971 0.7662 0.7662  7 Ga 2.47-2.58
Ga 0.3097 0.8215 0.3798  2 Ir 2.55-2.58, 1 Pt 2.59, 2 Ga 2.72-2.82
Ir 0.4029 0.2338 0.2338  7 Ga 2.47-2.58
Ga 0.3097 0.3798 0.8215  2 Ir 2.55-2.58, 1 Pt 2.59, 2 Ga 2.72-2.82
Pt 0.0000 0.0000 0.0000  6 Ga 2.55-2.59, 2 Ir 2.82
Ga 0.1519 0.8180 0.8180  2 Ir 2.47-2.58, 1 Pt 2.55, 1 Ga 2.74
Ga 0.2309 0.4103 0.4103  1 Ir 2.55, 6 Ga 2.72-2.82
Ga 0.7691 0.5897 0.5897  1 Ir 2.55, 6 Ga 2.72-2.82
Ga 0.8481 0.1820 0.1820  2 Ir 2.47-2.58, 1 Pt 2.55, 1 Ga 2.74
Ga 0.6903 0.6202 0.1785  2 Ir 2.55-2.58, 1 Pt 2.59, 2 Ga 2.72-2.82
Ga 0.6903 0.1785 0.6202  2 Ir 2.55-2.58, 1 Pt 2.59, 2 Ga 2.72-2.82

The crystal system is monoclinic. The calculation puts the energy relative to the lowest polymorph listed for this composition at 0.0322 eV per atom.

5.
GaIr2Pt: relaxed, PBE-GGA.

Lattice parameters (Å, degrees): 3.7722 3.7722 9.5539 78.61 78.61 90.00
Last column: nearest neighbours and their distance in Å.
Sites, in units of the cell vectors:
Ir 0.6331 0.1250 0.2500  4 Ir 2.62-2.71, 2 Pt 2.64, 2 Ga 2.66
Pt 0.0000 0.0000 0.0000  4 Ir 2.64, 4 Ga 2.67
Pt 0.7500 0.2500 0.5000  4 Ir 2.64, 4 Ga 2.67
Ir 0.8750 0.8831 0.7500  4 Ir 2.62-2.71, 2 Pt 2.64, 2 Ga 2.66
Ga 0.5000 0.5000 0.0000  4 Ir 2.66, 4 Pt 2.67
Ir 0.3750 0.3669 0.7500  4 Ir 2.62-2.71, 2 Pt 2.64, 2 Ga 2.66
Ir 0.1169 0.6250 0.2500  4 Ir 2.62-2.71, 2 Pt 2.64, 2 Ga 2.66
Ga 0.2500 0.7500 0.5000  4 Ir 2.66, 4 Pt 2.67

The crystal system is tetragonal.

6.
GaIrPt2: relaxed, PBE-GGA.

Lattice parameters (Å, degrees): 4.0317 3.8647 3.8647 90.00 90.00 90.00
Last column: nearest neighbours and their distance in Å.
Sites, in units of the cell vectors:
Pt 0.0000 0.5000 0.0000  4 Pt 2.73, 4 Ir 2.79, 4 Ga 2.79
Ir 0.5000 0.5000 0.5000  4 Ga 2.73, 8 Pt 2.79
Ga 0.5000 0.0000 0.0000  4 Ir 2.73, 8 Pt 2.79
Pt 0.0000 0.0000 0.5000  4 Pt 2.73, 4 Ir 2.79, 4 Ga 2.79

The crystal system is tetragonal.

7.
Ga5Ir4Pt: relaxed, PBE-GGA.

Lattice parameters (Å, degrees): 2.9647 2.9647 16.5390 90.00 90.00 90.00
Last column: nearest neighbours and their distance in Å.
Sites, in units of the cell vectors:
Ga 0.5000 0.5000 0.3047  8 Ir 2.65-2.66, 4 Ga 2.96
Ga 0.5000 0.5000 0.1079  4 Ir 2.65, 4 Pt 2.75, 4 Ga 2.96
Ir 0.0000 0.0000 0.7941  8 Ga 2.65-2.66, 4 Ir 2.96
Ga 0.5000 0.5000 0.5000  8 Ir 2.64
Ir 0.0000 0.0000 0.2059  8 Ga 2.65-2.66, 4 Ir 2.96
Ga 0.5000 0.5000 0.8921  4 Ir 2.65, 4 Pt 2.75, 4 Ga 2.96
Pt 0.0000 0.0000 0.0000  8 Ga 2.75, 4 Pt 2.96
Ir 0.0000 0.0000 0.5973  8 Ga 2.64-2.65
Ir 0.0000 0.0000 0.4027  8 Ga 2.64-2.65
Ga 0.5000 0.5000 0.6953  8 Ir 2.65-2.66, 4 Ga 2.96

The crystal system is tetragonal.

8.
Ga2IrPt2: relaxed, PBE-GGA.

Lattice parameters (Å, degrees): 7.1821 7.1821 2.9712 90.00 90.00 90.00
Last column: nearest neighbours and their distance in Å.
Sites, in units of the cell vectors:
Ga 0.6522 0.1522 0.0000  6 Pt 2.52-2.61, 2 Ir 2.73
Pt 0.3529 0.1471 0.5000  6 Ga 2.52-2.61
Pt 0.1471 0.6471 0.5000  6 Ga 2.52-2.61
Ir 0.0000 0.0000 0.0000  4 Ga 2.73, 2 Ir 2.97
Pt 0.8529 0.3529 0.5000  6 Ga 2.52-2.61
Pt 0.6471 0.8529 0.5000  6 Ga 2.52-2.61
Ga 0.3478 0.8478 0.0000  6 Pt 2.52-2.61, 2 Ir 2.73
Ir 0.5000 0.5000 0.0000  4 Ga 2.73, 2 Ir 2.97
Ga 0.8478 0.6522 0.0000  6 Pt 2.52-2.61, 2 Ir 2.73
Ga 0.1522 0.3478 0.0000  6 Pt 2.52-2.61, 2 Ir 2.73

The crystal system is tetragonal. The calculation puts the energy relative to the lowest polymorph listed for this composition at 0.0000 eV per atom.

9.
Ga2IrPt: relaxed, PBE-GGA.

Lattice parameters (Å, degrees): 2.9095 2.9095 7.0103 90.00 90.00 90.00
Last column: nearest neighbours and their distance in Å.
Sites, in units of the cell vectors:
Pt 0.5000 0.5000 0.5000  8 Ga 2.75, 4 Pt 2.91
Ga 0.0000 0.0000 0.7610  4 Ir 2.65, 4 Pt 2.75, 4 Ga 2.91
Ga 0.0000 0.0000 0.2390  4 Ir 2.65, 4 Pt 2.75, 4 Ga 2.91
Ir 0.5000 0.5000 0.0000  8 Ga 2.65, 4 Ir 2.91

The crystal system is tetragonal.

10.
Ga8Ir5Pt: relaxed, PBE-GGA.

Lattice parameters (Å, degrees): 6.5693 6.5693 6.5693 111.61 105.28 111.61
Last column: nearest neighbours and their distance in Å.
Sites, in units of the cell vectors:
Ir 0.8634 0.9054 0.2188  8 Ga 2.58-2.75
Ga 0.3207 0.2588 0.3998  1 Pt 2.54, 5 Ir 2.57-2.68, 2 Ga 2.75-2.83
Ga 0.5135 0.5947 0.2529  5 Ir 2.58-2.75, 2 Ga 2.69-2.75
Ga 0.0811 0.7393 0.4865  5 Ir 2.58-2.75, 2 Ga 2.69-2.75
Ir 0.0420 0.3554 0.1366  8 Ga 2.58-2.75
Ga 0.7471 0.2607 0.3418  5 Ir 2.58-2.75, 2 Ga 2.69-2.75
Ga 0.1409 0.7412 0.0619  1 Pt 2.54, 5 Ir 2.57-2.68, 2 Ga 2.75-2.83
Ga 0.9381 0.0791 0.6793  1 Pt 2.54, 5 Ir 2.57-2.68, 2 Ga 2.75-2.83
Pt 0.2500 0.5000 0.7500  4 Ga 2.54
Ir 0.5000 0.0000 0.5000  8 Ga 2.57-2.61
Ga 0.6002 0.9209 0.8591  1 Pt 2.54, 5 Ir 2.57-2.68, 2 Ga 2.75-2.83
Ir 0.3134 0.0946 0.9580  8 Ga 2.58-2.75
Ga 0.6582 0.4053 0.9189  5 Ir 2.58-2.75, 2 Ga 2.69-2.75
Ir 0.7812 0.6446 0.6866  8 Ga 2.58-2.75

The crystal system is tetragonal.

11.
Ga2IrPt2: relaxed, PBE-GGA.

Lattice parameters (Å, degrees): 7.4402 7.4402 2.7995 90.00 90.00 90.00
Last column: nearest neighbours and their distance in Å.
Sites, in units of the cell vectors:
Ga 0.3370 0.1630 0.5000  6 Pt 2.52-2.65, 2 Ga 2.80
Ga 0.1630 0.6630 0.5000  6 Pt 2.52-2.65, 2 Ga 2.80
Pt 0.1378 0.3622 0.0000  6 Ga 2.52-2.65, 2 Pt 2.80
Ga 0.6630 0.8370 0.5000  6 Pt 2.52-2.65, 2 Ga 2.80
Ir 0.0000 0.0000 0.0000  2 Ir 2.80, 4 Pt 2.88, 8 Ga 3.12
Ir 0.5000 0.5000 0.0000  2 Ir 2.80, 4 Pt 2.88, 8 Ga 3.12
Pt 0.8622 0.6378 0.0000  6 Ga 2.52-2.65, 2 Pt 2.80
Pt 0.6378 0.1378 0.0000  6 Ga 2.52-2.65, 2 Pt 2.80
Ga 0.8370 0.3370 0.5000  6 Pt 2.52-2.65, 2 Ga 2.80
Pt 0.3622 0.8622 0.0000  6 Ga 2.52-2.65, 2 Pt 2.80

The crystal system is tetragonal. The calculation puts the energy relative to the lowest polymorph listed for this composition at 0.0112 eV per atom.

12.
GaIr2Pt: relaxed, PBE-GGA.

Lattice parameters (Å, degrees): 3.7845 3.9581 3.9581 90.00 90.00 90.00
Last column: nearest neighbours and their distance in Å.
Sites, in units of the cell vectors:
Ir 0.0000 0.5000 0.0000  4 Ga 2.74, 4 Pt 2.74, 4 Ir 2.80
Ga 0.5000 0.5000 0.5000  8 Ir 2.74, 4 Pt 2.80
Pt 0.5000 0.0000 0.0000  8 Ir 2.74, 4 Ga 2.80
Ir 0.0000 0.0000 0.5000  4 Ga 2.74, 4 Pt 2.74, 4 Ir 2.80

The crystal system is tetragonal.

no.,formation enthalpy at 0 K (kJ/mol of atoms),theoretical density (g/cm3)
1,-21,15.82
2,-38,10.21
3,-24,16.37
4,-25,9.27
5,21,16.52
6,-28,17.98
7,-40,14.99
8,-24,15.64
9,-44,14.74
10,-24,13.09
11,-23,15.47
12,-15,18.18